1.
Below is a relaxed structure of LaFeTe2, with properties calculated at the PBE-GGA level.

Lattice parameters (Å, degrees): 4.2917 4.2917 6.4536 90.00 90.00 90.00
Element x y z (fractional)
Fe 0.0000 0.0000 0.4657
La 0.5000 0.5000 0.8035
Te 0.0000 0.0000 0.8988
Te 0.5000 0.5000 0.3320

Values from the calculation:
- Total magnetization: 3.19 μB per cell
- Total DFT energy (no corrections): -21.78 eV per cell
- Symmetry: P4mm (99)

=====

2.
Below is a relaxed structure of Ho2TlZn, with properties calculated at the PBE-GGA level.

Lattice parameters (Å, degrees): 3.6732 3.6732 9.4168 78.75 78.75 60.00
Element x y z (fractional)
Zn 0.0000 0.0000 0.0000
Tl 0.5000 0.5000 0.5000
Ho 0.2561 0.2561 0.2318
Ho 0.7439 0.7439 0.7682

Values from the calculation:
- Total magnetization: 0.00 μB per cell
- Formation enthalpy at 0 K: -19 kJ per mole of atoms
- Symmetry: R-3m (166)

=====

3.
Below is a relaxed structure of AgAu2, with properties calculated at the PBE-GGA level.

Lattice parameters (Å, degrees): 6.6770 6.6770 4.1226 90.00 90.00 144.06
Element x y z (fractional)
Ag 0.9168 0.0832 0.2500
Ag 0.0832 0.9168 0.7500
Au 0.5825 0.4175 0.2500
Au 0.4175 0.5825 0.7500
Au 0.2502 0.7498 0.2500
Au 0.7498 0.2502 0.7500

Values from the calculation:
- Energy above the most stable polymorph in this dataset: 1 meV per atom
- Total magnetization: 0.00 μB per cell
- Formation enthalpy at 0 K: -4 kJ per mole of atoms
- Symmetry: Cmcm (63)

=====

4.
Below is a relaxed structure of PrCu2PdAu5, with properties calculated at the PBE-GGA level.

Lattice parameters (Å, degrees): 4.8905 4.8905 7.3274 90.00 90.00 90.00
Element x y z (fractional)
Pr 0.0000 0.0000 0.5000
Cu 0.5000 0.5000 0.1560
Cu 0.5000 0.5000 0.8440
Pd 0.0000 0.0000 0.0000
Au 0.0000 0.5000 0.2198
Au 0.5000 0.0000 0.2198
Au 0.0000 0.5000 0.7802
Au 0.5000 0.0000 0.7802
Au 0.5000 0.5000 0.5000

Values from the calculation:
- Total magnetization: 0.00 μB per cell
- Formation enthalpy at 0 K: -12 kJ per mole of atoms
- Symmetry: P4/mmm (123)

=====

5.
Below is a relaxed structure of MgBeCo2, with properties calculated at the PBE-GGA level.

Lattice parameters (Å, degrees): 4.4024 4.4024 4.4024 131.79 131.79 70.57
Element x y z (fractional)
Be 0.7500 0.2500 0.5000
Mg 0.2500 0.7500 0.5000
Co 0.0000 0.0000 0.0000
Co 0.5000 0.5000 0.0000

Values from the calculation:
- Energy above the most stable polymorph in this dataset: 171 meV per atom
- Total magnetization: 2.14 μB per cell
- Formation enthalpy at 0 K: 16 kJ per mole of atoms
- Symmetry: I4/mmm (139)